Density functional theory data (PBE-GGA) for a relaxed LiFe2BiBr crystal.

Summary:
The space-group type is P4/mmm, No. 123.

a b c (Å): 4.358 5.918 4.358
angles (deg): 90.00 90.00 90.00
Site moments in Bohr magnetons follow the coordinates.
Element x y z (fractional)
Br 0.000 0.000 0.000  0.02
Fe 0.000 0.000 0.500  -0.03
Fe 0.500 0.000 0.000  0.21
Li 0.500 0.500 0.500  0.01
Bi 0.000 0.500 0.000  0.01

Density functional theory data (PBE-GGA) for a relaxed LiFeBiBr2 crystal.

Summary:
The space-group type is P4/mmm, No. 123.

a b c (Å): 5.214 4.963 5.214
angles (deg): 90.00 90.00 90.00
Site moments in Bohr magnetons follow the coordinates.
Element x y z (fractional)
Br 0.000 0.000 0.500  0.00
Br 0.500 0.000 0.000  0.02
Fe 0.000 0.000 0.000  -0.13
Li 0.500 0.500 0.500  0.00
Bi 0.000 0.500 0.000  0.06

Density functional theory data (PBE-GGA) for a relaxed LiFeBi2Br crystal.

Summary:
The space-group type is P4/mmm, No. 123.

a b c (Å): 4.949 5.558 4.949
angles (deg): 90.00 90.00 90.00
Site moments in Bohr magnetons follow the coordinates.
Element x y z (fractional)
Br 0.500 0.500 0.500  -0.02
Fe 0.000 0.000 0.000  1.18
Bi 0.000 0.000 0.500  0.01
Bi 0.500 0.000 0.000  -0.11
Li 0.000 0.500 0.000  -0.01

| no. | formation energy without anion corrections (meV/atom) |
| --- | --- |
| 1 | 1216 |
| 2 | 79 |
| 3 | 127 |